1.
Computed, not measured: crystalline CdInHg2 at its relaxed geometry at the PBE level of DFT.

The structure in CIF format:
```
data_CdInHg2
_space_group_name_H-M_alt 'R 3 m'
_space_group_IT_number 160
_space_group_name_Hall 'R 3 -2"'
_cell_length_a 3.7442
_cell_length_b 3.7442
_cell_length_c 26.0143
_cell_angle_alpha 90.00
_cell_angle_beta 90.00
_cell_angle_gamma 120.00
loop_
_atom_site_label
_atom_site_type_symbol
_atom_site_fract_x
_atom_site_fract_y
_atom_site_fract_z
Cd1 Cd 0.0000 0.0000 0.0000
In1 In 0.0000 0.0000 0.1673
Hg1 Hg 0.0000 0.0000 0.5855
Hg2 Hg 0.0000 0.0000 0.7488
```

Results
formation energy from the elements	0.03	eV/atom


2.
Computed, not measured: crystalline Hf2HgBr8 at its relaxed geometry at the PBE level of DFT.

The structure in CIF format:
```
data_Hf2HgBr8
_space_group_name_H-M_alt 'I m m m'
_space_group_IT_number 71
_space_group_name_Hall '-I 2 2'
_cell_length_a 5.348
_cell_length_b 12.680
_cell_length_c 13.787
_cell_angle_alpha 90.00
_cell_angle_beta 90.00
_cell_angle_gamma 90.00
loop_
_atom_site_label
_atom_site_type_symbol
_atom_site_fract_x
_atom_site_fract_y
_atom_site_fract_z
Hf1 Hf 0.000 0.167 0.000
Hg1 Hg 0.000 0.000 0.500
Br1 Br 0.000 0.000 0.127
Br2 Br 0.000 0.291 0.139
Br3 Br 0.000 0.350 0.500
```

Results
ΔE_f (raw)	-1.195	eV per atom


no.,DFT total energy (eV/cell)
1,-12.46
2,-93.46